# 1
K12H5I3: relaxed, PBE.

Unit cell a=18.6546 b=18.6546 c=18.6546 alpha=90.00 beta=90.00 gamma=90.00
Space group Ia-3d (No. 230)
Inequivalent atoms, fractional coordinates:
K: 0.0378 0.0466 0.6513
H: 0.0000 0.0000 0.0000
H: 0.0000 0.2500 0.3750
I: 0.0000 0.2500 0.1250

---

# 2
CdHgTe2: relaxed, PBE.

Output
formation energy without anion corrections = -0.31 eV/atom

Unit cell a=6.6308 b=6.6307 c=6.6282 alpha=90.00 beta=90.01 gamma=90.00
Space group C2 (No. 5)
Inequivalent atoms, fractional coordinates:
Cd: 0.0000 0.0000 0.0000
Hg: 0.0000 0.5026 0.5000
Te: 0.2490 0.2512 0.2484

---

# 3
DyTlF6: relaxed, PBE.

Output
formation energy without anion corrections = -2.95 eV/atom

Unit cell a=5.5930 b=5.5930 c=10.4859 alpha=90.00 beta=90.00 gamma=120.00
Space group P-31c (No. 163)
Inequivalent atoms, fractional coordinates:
Dy: 0.3333 0.6667 0.2500
Tl: 0.0000 0.0000 0.0000
F: 0.0423 0.3340 0.1244

---

# 4
LaTbNdHg: relaxed, PBE.

Output
calculated formation energy = -232.4 meV/atom

Unit cell a=3.7433 b=3.7433 c=8.8540 alpha=90.00 beta=90.00 gamma=90.00
Space group P4mm (No. 99)
Inequivalent atoms, fractional coordinates:
La: 0.0000 0.0000 0.0000
Tb: 0.5000 0.5000 0.2794
Nd: 0.5000 0.5000 0.7123
Hg: 0.0000 0.0000 0.4819

---

| no. | D(E_F) (states/eV per cell) | uncorrected energy (eV per atom) |
| --- | --- | --- |
| 1 | 65.5 | -2.12 |
| 2 | 0.1 | -2.19 |
| 3 | 0.0 | -5.23 |
| 4 | 5.5 | -3.89 |